[1]
## Li12GePd6 (GGA-PBE)

Data for Li12GePd6 after structural relaxation.

The structure belongs to space group R-3 (No. 148, hexagonal axes); the cell edges are 9.4180, 9.4180 and 11.6020 Å and the angles 90.00°, 90.00° and 120.00°. Symmetry generates all atoms from Li at (0.0396, 0.8447, 0.3152), Li at (0.0630, 0.2270, 0.9148), Ge at (0.0000, 0.0000, 0.5000) and Pd at (0.0259, 0.5860, 0.2074).

The calculation puts the density of states at the Fermi level at 7.04 states/eV/f.u. Its calculated formation energy is -0.34 eV per atom.

=====

[2]
## Li6GePd5 (GGA-PBE)

Data for Li6GePd5 after structural relaxation.

The structure belongs to space group C2/m (No. 12); the cell edges are 4.839, 8.322 and 8.667 Å and the angles 90.00°, 100.45° and 90.00°. Symmetry generates all atoms from Li at (0.249, 0.000, 0.246), Li at (0.249, 0.334, 0.245), Ge at (0.000, 0.000, 0.500), Pd at (0.000, 0.166, 0.000), Pd at (0.000, 0.332, 0.500) and Pd at (0.000, 0.500, 0.000).

The calculation puts the density of states at the Fermi level at 6.72 states/eV/f.u. Its calculated formation energy is -0.42 eV per atom.

=====

> Which of these has the lowest calculated formation energy?

Li6GePd5

=====

> Among the records above, which one has the lowest calculated formation energy?

Li6GePd5

=====

> What is the formula in the second record?

Li6GePd5

=====

> Among the records above, which one has the highest calculated formation energy?

Li12GePd6